[1]
Entry from Alexandria: NdMgCuRu after structural relaxation (GGA-PBE).

**Energy relative to the elements**: -19 meV per atom
**V**: 76.9 Å³/cell

a b c (Å): 4.7739 4.7739 4.7739
angles (deg): 60.00 60.00 60.00
Element x y z (fractional)
Ru (0.7500, 0.7500, 0.7500)
Mg (0.0000, 0.0000, 0.0000)
Nd (0.5000, 0.5000, 0.5000)
Cu (0.2500, 0.2500, 0.2500)

[2]
Entry from Alexandria: NdMgCuS3 after structural relaxation (GGA-PBE).

**V**: 238.7 Å³/cell

a b c (Å): 3.8129 7.6877 8.3682
angles (deg): 103.33 90.00 90.00
Element x y z (fractional)
S (0.7500, 0.4293, 0.1567)
S (0.2500, 0.0982, 0.8653)
S (0.7500, 0.9018, 0.1347)
S (0.7500, 0.2378, 0.5164)
S (0.2500, 0.7622, 0.4836)
S (0.2500, 0.5707, 0.8433)
Mg (0.7500, 0.3386, 0.8445)
Mg (0.2500, 0.6614, 0.1555)
Nd (0.7500, 0.8097, 0.7581)
Nd (0.2500, 0.1903, 0.2419)
Cu (0.7500, 0.9134, 0.4139)
Cu (0.2500, 0.0866, 0.5861)

Total DFT energy (no corrections) values, unit eV per atom, following the record order: -4.953 -5.181.